Crystalline MnCr4Pt at its relaxed geometry. Source: the Alexandria database, functional PBE-GGA.

Geometry as extended XYZ:
```
6
Lattice="0.0000 3.3400 3.3400 3.3400 0.0000 3.3400 3.3400 3.3400 0.0000" Properties=species:S:1:pos:R:3 pbc="T T T"
Mn 0.0000 0.0000 0.0000
Cr 2.4933 2.4933 2.4933
Cr 4.1867 4.1867 2.4933
Cr 4.1867 2.4933 4.1867
Cr 2.4933 4.1867 4.1867
Pt 5.0100 5.0100 5.0100
```

SG: No. 216
Formation enthalpy at 0 K (kJ/mol of atoms): 5